The following is a DFT calculation (GGA+U) of a relaxed NaSc2CoF crystal.

The value obtained for the total magnetic moment is 0.015 μB/atom. The calculation puts the uncorrected energy at -3.615 eV per atom.

The space group is P4/mmm (No. 123) and the conventional cell measures 5.238, 5.238 and 3.681 Å, with angles of 90.00, 90.00 and 90.00 degrees. The asymmetric unit holds Na at (0.000, 0.000, 0.000), Sc at (0.000, 0.500, 0.000), Co at (0.500, 0.500, 0.500) and F at (0.000, 0.000, 0.500).